# 1
Compound: Pm2Pr2DyY
Source: Alexandria
Functional: PBE-GGA
Structure: relaxed

The calculation puts the final energy at -59.6 eV for the cell shown.

The space group is Pmma (No. 51) and the conventional cell measures 7.133, 5.741 and 9.956 Å, with angles of 90.00, 90.00 and 90.00 degrees. Symmetry generates all atoms from Pm at (0.250, 0.000, 0.163), Pm at (0.250, 0.500, 0.668), Pr at (0.000, 0.500, 0.000), Pr at (0.250, 0.000, 0.824), Dy at (0.250, 0.500, 0.340) and Y at (0.000, 0.000, 0.500).

=====

# 2
Compound: Pr2Hg2Rh
Source: Alexandria
Functional: PBE-GGA
Structure: relaxed

The calculation puts the final energy at -80.6 eV for the cell shown.

The space group is C2/m (No. 12) and the conventional cell measures 12.320, 4.005 and 11.811 Å, with angles of 90.00, 113.75 and 90.00 degrees. Symmetry generates all atoms from Pr at (0.097, 0.000, 0.383), Pr at (0.186, 0.000, 0.110), Hg at (0.035, 0.500, 0.866), Hg at (0.112, 0.500, 0.614) and Rh at (0.212, 0.500, 0.296).

=====

# 3
Compound: MnFeCu2
Source: Alexandria
Functional: PBE-GGA
Structure: relaxed

The calculation puts the final energy at -25.2 eV for the cell shown.

The space group is P4mm (No. 99) and the conventional cell measures 2.565, 2.565 and 7.477 Å, with angles of 90.00, 90.00 and 90.00 degrees. Symmetry generates all atoms from Mn at (0.000, 0.000, 0.000), Fe at (0.500, 0.500, 0.748), Cu at (0.000, 0.000, 0.501) and Cu at (0.500, 0.500, 0.255).

=====

# 4
Compound: BeNiOsPb2
Source: Alexandria
Functional: PBE-GGA
Structure: relaxed

The calculation puts the final energy at -22.5 eV for the cell shown. The energy above the lowest structure with this stoichiometry comes out at 0.0000 eV/atom.

The space group is P4/mmm (No. 123) and the conventional cell measures 4.988, 4.988 and 3.988 Å, with angles of 90.00, 90.00 and 90.00 degrees. Symmetry generates all atoms from Be at (0.000, 0.000, 0.000), Ni at (0.000, 0.000, 0.500), Os at (0.500, 0.500, 0.000) and Pb at (0.000, 0.500, 0.500).

=====

# 5
Compound: Co2RuPt
Source: Alexandria
Functional: PBE-GGA
Structure: relaxed

The calculation puts the final energy at -28.8 eV for the cell shown. The energy above the lowest structure with this stoichiometry comes out at 0.1193 eV/atom.

The space group is P4/mmm (No. 123) and the conventional cell measures 3.086, 3.086 and 5.492 Å, with angles of 90.00, 90.00 and 90.00 degrees. Symmetry generates all atoms from Co at (0.000, 0.000, 0.233), Ru at (0.500, 0.500, 0.000) and Pt at (0.500, 0.500, 0.500).

=====

# 6
Compound: CoSiCl
Source: Alexandria
Functional: PBE-GGA
Structure: relaxed

As for the uncorrected formation energy: 0.5 eV per formula unit. The calculation puts the final energy at -27.8 eV for the cell shown. The energy above the lowest structure with this stoichiometry comes out at 0.1869 eV/atom.

The space group is I4mm (No. 107) and the conventional cell measures 3.080, 3.080 and 11.495 Å, with angles of 90.00, 90.00 and 90.00 degrees. Symmetry generates all atoms from Co at (0.000, 0.000, 0.000), Si at (0.000, 0.000, 0.436) and Cl at (0.000, 0.000, 0.645).

=====

# 7
Compound: KBPt2
Source: Alexandria
Functional: PBE-GGA
Structure: relaxed

The calculation puts the final energy at -59.9 eV for the cell shown.

The space group is R-3m (No. 166, hexagonal axes) and the conventional cell measures 3.3289, 3.3289 and 23.2047 Å, with angles of 90.00, 90.00 and 120.00 degrees. Symmetry generates all atoms from K at (0.0000, 0.0000, 0.0000), B at (0.0000, 0.0000, 0.5000) and Pt at (0.0000, 0.0000, 0.2119).

=====

# 8
Compound: Tb3Tm7In
Source: Alexandria
Functional: PBE-GGA
Structure: relaxed

The calculation puts the final energy at -46.6 eV for the cell shown.

The space group is P3m1 (No. 156) and the conventional cell measures 6.8858, 6.8858 and 8.4331 Å, with angles of 90.00, 90.00 and 120.00 degrees. Symmetry generates all atoms from Tb at (0.1675, 0.3349, 0.0000), Tm at (0.0058, 0.5029, 0.3386), Tm at (0.3310, 0.1655, 0.6598), Tm at (0.3333, 0.6667, 0.6718) and In at (0.0000, 0.0000, 0.3397).

=====

# 9
Compound: K3Tb2PuO6
Source: Alexandria
Functional: PBE-GGA
Structure: relaxed

As for the uncorrected formation energy: -31.2 eV per formula unit. The calculation puts the final energy at -175.8 eV for the cell shown.

The space group is C2/m (No. 12) and the conventional cell measures 6.125, 10.608 and 6.593 Å, with angles of 90.00, 108.05 and 90.00 degrees. Symmetry generates all atoms from K at (0.000, 0.000, 0.000), K at (0.000, 0.333, 0.000), Tb at (0.000, 0.167, 0.500), Pu at (0.000, 0.500, 0.500), O at (0.225, 0.000, 0.687) and O at (0.231, 0.331, 0.687).

=====

# 10
Compound: Ac6Pr
Source: Alexandria
Functional: PBE-GGA
Structure: relaxed

The calculation puts the final energy at -38.5 eV for the cell shown. The energy above the lowest structure with this stoichiometry comes out at 1.1606 eV/atom.

The space group is Im-3m (No. 229) and the conventional cell measures 9.323, 9.323 and 9.323 Å, with angles of 90.00, 90.00 and 90.00 degrees. Symmetry generates all atoms from Ac at (0.000, 0.250, 0.500) and Pr at (0.000, 0.000, 0.000).

=====

# 11
Compound: Mg6CdGa
Source: Alexandria
Functional: PBE-GGA
Structure: relaxed

The calculation puts the final energy at -14.1 eV for the cell shown. The energy above the lowest structure with this stoichiometry comes out at 0.0000 eV/atom.

The space group is P4/mmm (No. 123) and the conventional cell measures 4.381, 4.381 and 8.886 Å, with angles of 90.00, 90.00 and 90.00 degrees. Symmetry generates all atoms from Mg at (0.000, 0.000, 0.000), Mg at (0.000, 0.000, 0.500), Mg at (0.000, 0.500, 0.244), Cd at (0.500, 0.500, 0.500) and Ga at (0.500, 0.500, 0.000).

=====

# 12
Compound: Tb2ScOs2
Source: Alexandria
Functional: PBE-GGA
Structure: relaxed

The calculation puts the final energy at -78.8 eV for the cell shown.

The space group is Immm (No. 71) and the conventional cell measures 4.303, 5.924 and 8.656 Å, with angles of 90.00, 90.00 and 90.00 degrees. Symmetry generates all atoms from Tb at (0.000, 0.000, 0.206), Sc at (0.000, 0.500, 0.000) and Os at (0.000, 0.288, 0.500).

=====

# 13
Compound: SbHAu
Source: Alexandria
Functional: PBE-GGA
Structure: relaxed

The calculation puts the final energy at -20.5 eV for the cell shown. The energy above the lowest structure with this stoichiometry comes out at 0.0000 eV/atom.

The space group is I4mm (No. 107) and the conventional cell measures 4.042, 4.042 and 6.598 Å, with angles of 90.00, 90.00 and 90.00 degrees. Symmetry generates all atoms from Sb at (0.000, 0.000, 0.000), H at (0.000, 0.000, 0.704) and Au at (0.000, 0.000, 0.438).

=====

# 14
Compound: Nb3AgIr
Source: Alexandria
Functional: PBE-GGA
Structure: relaxed

The calculation puts the final energy at -37.1 eV for the cell shown. The energy above the lowest structure with this stoichiometry comes out at 0.0000 eV/atom.

The space group is Pm-3m (No. 221) and the conventional cell measures 4.868, 4.868 and 4.868 Å, with angles of 90.00, 90.00 and 90.00 degrees. Symmetry generates all atoms from Nb at (0.000, 0.000, 0.500), Ag at (0.500, 0.500, 0.500) and Ir at (0.000, 0.000, 0.000).

=====

# 15
Compound: SmTlAgBr5
Source: Alexandria
Functional: PBE-GGA
Structure: relaxed

As for the uncorrected formation energy: -9.8 eV per formula unit. The calculation puts the final energy at -112.5 eV for the cell shown.

The space group is C2/c (No. 15) and the conventional cell measures 9.273, 13.126 and 10.762 Å, with angles of 90.00, 112.02 and 90.00 degrees. Symmetry generates all atoms from Sm at (0.000, 0.000, 0.000), Tl at (0.000, 0.360, 0.250), Ag at (0.000, 0.311, 0.750), Br at (0.000, 0.083, 0.250), Br at (0.121, 0.196, 0.606) and Br at (0.184, 0.441, 0.943).

=====

# 16
Compound: ZnHgBi2
Source: Alexandria
Functional: PBE-GGA
Structure: relaxed

The calculation puts the final energy at -26.2 eV for the cell shown. The energy above the lowest structure with this stoichiometry comes out at 0.0294 eV/atom.

The space group is R3m (No. 160, hexagonal axes) and the conventional cell measures 4.4379, 4.4379 and 20.0544 Å, with angles of 90.00, 90.00 and 120.00 degrees. Symmetry generates all atoms from Zn at (0.0000, 0.0000, 0.0000), Hg at (0.0000, 0.0000, 0.8345), Bi at (0.0000, 0.0000, 0.4032) and Bi at (0.0000, 0.0000, 0.5975).

=====

# 17
Compound: Ce5YSb6
Source: Alexandria
Functional: PBE-GGA
Structure: relaxed

As for the uncorrected formation energy: -12.7 eV per formula unit. The calculation puts the final energy at -147.2 eV for the cell shown.

The space group is C2/m (No. 12) and the conventional cell measures 7.767, 13.449 and 7.758 Å, with angles of 90.00, 109.49 and 90.00 degrees. Symmetry generates all atoms from Ce at (0.000, 0.000, 0.000), Ce at (0.000, 0.166, 0.500), Ce at (0.000, 0.332, 0.000), Y at (0.000, 0.500, 0.500), Sb at (0.247, 0.335, 0.747) and Sb at (0.247, 0.500, 0.250).

=====

# 18
Compound: Ce2TcGeN5
Source: Alexandria
Functional: PBE-GGA
Structure: relaxed

As for the uncorrected formation energy: -6.3 eV per formula unit. The calculation puts the final energy at -299.2 eV for the cell shown.

The space group is Cmc2_1 (No. 36) and the conventional cell measures 3.325, 13.719 and 9.840 Å, with angles of 90.00, 90.00 and 90.00 degrees. Symmetry generates all atoms from Ce at (0.000, 0.112, 0.000), Ce at (0.000, 0.142, 0.614), Tc at (0.000, 0.221, 0.343), Ge at (0.000, 0.451, 0.768), N at (0.000, 0.052, 0.364), N at (0.000, 0.285, 0.960), N at (0.000, 0.316, 0.695), N at (0.000, 0.364, 0.326) and N at (0.000, 0.492, 0.097).

=====

# 19
Compound: Tb2NdHoBi4
Source: Alexandria
Functional: PBE-GGA
Structure: relaxed

The calculation puts the final energy at -41.2 eV for the cell shown.

The space group is P2/m (No. 10) and the conventional cell measures 7.819, 4.518 and 7.820 Å, with angles of 90.00, 109.48 and 90.00 degrees. Symmetry generates all atoms from Tb at (0.000, 0.000, 0.000), Tb at (0.500, 0.500, 0.000), Nd at (0.000, 0.500, 0.500), Ho at (0.500, 0.000, 0.500), Bi at (0.254, 0.500, 0.249) and Bi at (0.256, 0.000, 0.754).